Entry from Alexandria via LeMat-Bulk: an optimized crystal structure of LaAlCr4 (PBE).

POSCAR file:
```
LaAlCr4
1.0
0.4781 3.2417 3.8927
-3.5881 0.1967 3.6024
0.9853 -1.7610 4.6710
Al La Cr
1 1 4
Cartesian
0.0000 0.0000 0.0000
-1.5936 1.2581 9.1245
-0.5583 2.2485 6.5082
-0.7971 0.6292 4.5638
-0.3049 -0.2504 6.8970
-2.5893 0.7275 6.3632
```

SG: F-43m, No. 216
Raw total energy: -44.67 eV/cell
Calculated density: 6.665 Mg/m³
Size of the total moment: 0.0 μB/f.u.



Entry from Alexandria via LeMat-Bulk: an optimized crystal structure of La2AlCrN (PBE).

POSCAR file:
```
La2AlCrN
1.0
5.3139 0.0000 0.0000
0.0000 5.3139 0.0000
0.0000 0.0000 3.8245
Cr La N Al
1 2 1 1
Cartesian
0.0000 0.0000 1.9122
2.6570 0.0000 0.0000
0.0000 2.6570 0.0000
0.0000 0.0000 0.0000
2.6570 2.6570 1.9122
```

SG: P4/mmm, No. 123
ΔE_f (raw): -548.4 meV per atom
Calculated density: 5.701 Mg/m³
Size of the total moment: 2.1 μB/f.u.



Entry from Alexandria via LeMat-Bulk: an optimized crystal structure of NaLaAlCr2 (PBE).

POSCAR file:
```
NaLaAlCr2
1.0
-2.6050 3.8550 -0.6875
-2.7175 -2.4852 -3.6386
-3.0395 -1.4700 3.2741
Cr Al Na La
2 1 1 1
Cartesian
-1.5198 -0.7350 1.6371
-1.3025 1.9275 -0.3437
-4.1810 -0.0501 -0.5260
0.0000 0.0000 0.0000
-1.3588 -1.2426 -1.8193
```

SG: P4/mmm, No. 123
Raw total energy: -19.02 eV/cell
Calculated density: 4.247 Mg/m³
Size of the total moment: 0.3 μB/f.u.